Below is a relaxed structure of LiAg4W, with properties calculated at the GGA-PBE level.

density	9.194	g/cm3
magnetization	0.549	μB/atom
space-group type	F-43m (216)
energy of formation	0.705	eV/atom
energy	-3.673	eV per atom

a = 5.417 Å, b = 5.417 Å, c = 5.417 Å
α = 60.00°, β = 60.00°, γ = 60.00°
Atoms (fractional coordinates):
Ag 0.375 0.875 0.375
Ag 0.375 0.375 0.375
W 0.000 0.000 0.000
Ag 0.375 0.375 0.875
Ag 0.875 0.375 0.375
Li 0.750 0.750 0.750


Below is a relaxed structure of Li2AgW, with properties calculated at the GGA-PBE level.

density	7.962	g/cm3
magnetization	0.632	μB/atom
space-group type	P4/mmm (123)
energy of formation	0.813	eV/atom
energy	-4.095	eV per atom
ΔE to the lowest computed polymorph	0.597	eV/atom

a = 4.066 Å, b = 3.959 Å, c = 3.959 Å
α = 90.00°, β = 90.00°, γ = 90.00°
Atoms (fractional coordinates):
Li 0.000 0.500 0.500
Li 0.000 0.000 0.000
W 0.500 0.500 0.000
Ag 0.500 0.000 0.500


Below is a relaxed structure of Li2AgW, with properties calculated at the GGA-PBE level.

density	8.175	g/cm3
magnetization	0.000	μB/atom
space-group type	P4/mmm (123)
energy of formation	0.279	eV/atom
energy	-4.629	eV per atom
ΔE to the lowest computed polymorph	0.063	eV/atom

a = 2.691 Å, b = 2.691 Å, c = 8.572 Å
α = 90.00°, β = 90.00°, γ = 90.00°
Atoms (fractional coordinates):
Li 0.000 0.000 0.508
Ag 0.500 0.500 0.750
Li 0.000 0.000 0.992
W 0.500 0.500 0.250


Below is a relaxed structure of Li2AgW, with properties calculated at the GGA-PBE level.

density	7.933	g/cm3
magnetization	0.000	μB/atom
space-group type	P4mm (99)
energy of formation	0.336	eV/atom
energy	-4.572	eV per atom
ΔE to the lowest computed polymorph	0.120	eV/atom

a = 2.726 Å, b = 2.726 Å, c = 8.608 Å
α = 90.00°, β = 90.00°, γ = 90.00°
Atoms (fractional coordinates):
W 0.000 0.000 0.495
Li 0.000 0.000 0.990
Ag 0.500 0.500 0.760
Li 0.500 0.500 0.255


Below is a relaxed structure of LiAg2W, with properties calculated at the GGA-PBE level.

density	10.102	g/cm3
magnetization	0.000	μB/atom
space-group type	Cmm2 (35)
energy of formation	0.320	eV/atom
energy	-4.822	eV per atom
ΔE to the lowest computed polymorph	0.000	eV/atom

a = 2.734 Å, b = 2.734 Å, c = 9.731 Å
α = 90.00°, β = 90.00°, γ = 113.29°
Atoms (fractional coordinates):
Li 0.000 0.000 0.498
Ag 0.000 0.000 0.998
W 0.500 0.500 0.744
Ag 0.500 0.500 0.259


Below is a relaxed structure of Li2AgW, with properties calculated at the GGA-PBE level.

density	7.617	g/cm3
magnetization	0.000	μB/atom
space-group type	Cmm2 (35)
energy of formation	0.309	eV/atom
energy	-4.599	eV per atom
ΔE to the lowest computed polymorph	0.094	eV/atom

a = 2.706 Å, b = 2.706 Å, c = 9.798 Å
α = 90.00°, β = 90.00°, γ = 111.74°
Atoms (fractional coordinates):
Ag 0.500 0.500 0.755
Li 0.000 0.000 0.989
W 0.000 0.000 0.499
Li 0.500 0.500 0.257


Below is a relaxed structure of Li2AgW, with properties calculated at the GGA-PBE level.

density	8.113	g/cm3
magnetization	0.114	μB/atom
space-group type	I-42d (122)
energy of formation	1.022	eV/atom
energy	-3.886	eV per atom
ΔE to the lowest computed polymorph	0.806	eV/atom

a = 6.817 Å, b = 6.817 Å, c = 5.521 Å
α = 51.88°, β = 51.88°, γ = 90.00°
Atoms (fractional coordinates):
W 0.750 0.250 0.500
Li 0.145 0.625 0.250
Ag 0.250 0.750 0.500
Li 0.605 0.125 0.250
W 0.000 0.000 0.000
Li 0.875 0.855 0.750
Li 0.375 0.395 0.750
Ag 0.500 0.500 0.000


Below is a relaxed structure of Li2AgW, with properties calculated at the GGA-PBE level.

density	7.937	g/cm3
magnetization	0.000	μB/atom
space-group type	Cmmm (65)
energy of formation	0.215	eV/atom
energy	-4.693	eV per atom
ΔE to the lowest computed polymorph	0.000	eV/atom

a = 2.694 Å, b = 2.694 Å, c = 9.544 Å
α = 90.00°, β = 90.00°, γ = 112.67°
Atoms (fractional coordinates):
Li 0.000 0.000 0.999
Ag 0.500 0.500 0.750
W 0.500 0.500 0.250
Li 0.000 0.000 0.501